Entry 1:
# LaCdCu2 | the Alexandria database | PBE | relaxed
# - calculated formation energy (eV/atom) = -0.033
data_LaCdCu2
_chemical_formula_sum 'La1 Cd1 Cu2'
_space_group_name_H-M_alt 'P 4/m m m'
_space_group_IT_number 123
_space_group_name_Hall '-P 4 2'
_cell_length_a 3.405
_cell_length_b 3.405
_cell_length_c 6.972
_cell_angle_alpha 90.00
_cell_angle_beta 90.00
_cell_angle_gamma 90.00
loop_
_atom_site_label
_atom_site_type_symbol
_atom_site_fract_x
_atom_site_fract_y
_atom_site_fract_z
_atom_site_occupancy
La1 La 0.000 0.000 0.000 1
Cd1 Cd 0.000 0.000 0.500 1
Cu1 Cu 0.500 0.500 0.298 1



Entry 2:
# Nd5Pa3Se8 | the Alexandria database | PBE | relaxed
# - formation energy without anion corrections (eV per atom) = -1.574
data_Nd5Pa3Se8
_chemical_formula_sum 'Nd15 Pa9 Se24'
_space_group_name_H-M_alt 'R -3 m'
_space_group_IT_number 166
_space_group_name_Hall '-R 3 2"'
_cell_length_a 8.2755
_cell_length_b 8.2755
_cell_length_c 20.7435
_cell_angle_alpha 90.00
_cell_angle_beta 90.00
_cell_angle_gamma 120.00
loop_
_atom_site_label
_atom_site_type_symbol
_atom_site_fract_x
_atom_site_fract_y
_atom_site_fract_z
_atom_site_occupancy
Nd1 Nd 0.0000 0.0000 0.0000 1
Nd2 Nd 0.0000 0.0000 0.5000 1
Nd3 Nd 0.0000 0.5000 0.0000 1
Pa1 Pa 0.0000 0.5000 0.5000 1
Se1 Se 0.0000 0.0000 0.2474 1
Se2 Se 0.0043 0.5022 0.7521 1



Entry 3:
# TeOsN2O | the Alexandria database | PBE | relaxed
# - formation energy without anion corrections (eV per atom) = 2.233
data_TeOsN2O
_chemical_formula_sum 'Te1 Os1 N2 O1'
_space_group_name_H-M_alt 'P 4/m m m'
_space_group_IT_number 123
_space_group_name_Hall '-P 4 2'
_cell_length_a 3.875
_cell_length_b 3.875
_cell_length_c 4.113
_cell_angle_alpha 90.00
_cell_angle_beta 90.00
_cell_angle_gamma 90.00
loop_
_atom_site_label
_atom_site_type_symbol
_atom_site_fract_x
_atom_site_fract_y
_atom_site_fract_z
_atom_site_occupancy
Te1 Te 0.000 0.000 0.000 1
Os1 Os 0.500 0.500 0.000 1
N1 N 0.000 0.500 0.500 1
O1 O 0.000 0.000 0.500 1



Entry 4:
# Mn2CoP | the Alexandria database | PBE | relaxed
# - calculated formation energy (eV/atom) = 0.010
data_Mn2CoP
_chemical_formula_sum 'Mn6 Co3 P3'
_space_group_name_H-M_alt 'R -3 m'
_space_group_IT_number 166
_space_group_name_Hall '-R 3 2"'
_cell_length_a 2.5734
_cell_length_b 2.5734
_cell_length_c 22.6615
_cell_angle_alpha 90.00
_cell_angle_beta 90.00
_cell_angle_gamma 120.00
loop_
_atom_site_label
_atom_site_type_symbol
_atom_site_fract_x
_atom_site_fract_y
_atom_site_fract_z
_atom_site_occupancy
Mn1 Mn 0.0000 0.0000 0.2459 1
Co1 Co 0.0000 0.0000 0.0000 1
P1 P 0.0000 0.0000 0.5000 1



Entry 5:
# NiAsI2N | the Alexandria database | PBE | relaxed
# - formation energy without anion corrections (eV per atom) = 1.083
data_NiAsI2N
_chemical_formula_sum 'Ni1 As1 I2 N1'
_space_group_name_H-M_alt 'P 4/m m m'
_space_group_IT_number 123
_space_group_name_Hall '-P 4 2'
_cell_length_a 5.831
_cell_length_b 5.831
_cell_length_c 3.645
_cell_angle_alpha 90.00
_cell_angle_beta 90.00
_cell_angle_gamma 90.00
loop_
_atom_site_label
_atom_site_type_symbol
_atom_site_fract_x
_atom_site_fract_y
_atom_site_fract_z
_atom_site_occupancy
Ni1 Ni 0.000 0.000 0.000 1
As1 As 0.500 0.500 0.500 1
I1 I 0.000 0.500 0.500 1
N1 N 0.500 0.500 0.000 1



Entry 6:
# BaTaIn | the Alexandria database | PBE | relaxed
# - calculated formation energy (eV/atom) = 1.681
data_BaTaIn
_chemical_formula_sum 'Ba4 Ta4 In4'
_space_group_name_H-M_alt 'F -4 3 m'
_space_group_IT_number 216
_space_group_name_Hall 'F -4 2 3'
_cell_length_a 7.576
_cell_length_b 7.576
_cell_length_c 7.576
_cell_angle_alpha 90.00
_cell_angle_beta 90.00
_cell_angle_gamma 90.00
loop_
_atom_site_label
_atom_site_type_symbol
_atom_site_fract_x
_atom_site_fract_y
_atom_site_fract_z
_atom_site_occupancy
Ba1 Ba 0.000 0.000 0.000 1
Ta1 Ta 0.250 0.250 0.750 1
In1 In 0.250 0.250 0.250 1



Entry 7:
# TbSmCu2 | the Alexandria database | PBE | relaxed
# - calculated formation energy (eV/atom) = -0.203
data_TbSmCu2
_chemical_formula_sum 'Tb4 Sm4 Cu8'
_space_group_name_H-M_alt 'F m -3 m'
_space_group_IT_number 225
_space_group_name_Hall '-F 4 2 3'
_cell_length_a 7.035
_cell_length_b 7.035
_cell_length_c 7.035
_cell_angle_alpha 90.00
_cell_angle_beta 90.00
_cell_angle_gamma 90.00
loop_
_atom_site_label
_atom_site_type_symbol
_atom_site_fract_x
_atom_site_fract_y
_atom_site_fract_z
_atom_site_occupancy
Tb1 Tb 0.000 0.000 0.000 1
Sm1 Sm 0.000 0.000 0.500 1
Cu1 Cu 0.250 0.250 0.250 1



Entry 8:
# Ac13Ru2 | the Alexandria database | PBE | relaxed
# - calculated formation energy (eV/atom) = -0.049
data_Ac13Ru2
_chemical_formula_sum 'Ac13 Ru2'
_space_group_name_H-M_alt 'P -1'
_space_group_IT_number 2
_cell_length_a 7.107
_cell_length_b 9.115
_cell_length_c 10.864
_cell_angle_alpha 65.30
_cell_angle_beta 84.33
_cell_angle_gamma 83.22
loop_
_space_group_symop_operation_xyz
'x,y,z'
'-x,-y,-z'
loop_
_atom_site_label
_atom_site_type_symbol
_atom_site_fract_x
_atom_site_fract_y
_atom_site_fract_z
_atom_site_occupancy
Ac1 Ac 0.000 0.000 0.000 1
Ac2 Ac 0.073 0.838 0.694 1
Ac3 Ac 0.159 0.694 0.379 1
Ac4 Ac 0.235 0.525 0.078 1
Ac5 Ac 0.307 0.389 0.774 1
Ac6 Ac 0.388 0.235 0.455 1
Ac7 Ac 0.467 0.083 0.152 1
Ru1 Ru 0.196 0.119 0.719 1



Taking the records one at a time from the top gives electronic total energy values of -14.17, -316.15, -24.82, -92.44, -16.44, -45.88, -73.42, -72.69 eV per cell.
Taking the records one at a time from the top gives total magnetization values of 0.000, 8.195, 0.000, 1.896, 1.134, 9.839, 0.000, 0.001 μB per cell.